Record 1
The following is a DFT calculation (PBE) of a relaxed CdInCoPt crystal.

a = 4.563 Å, b = 4.563 Å, c = 4.563 Å
α = 60.00°, β = 60.00°, γ = 60.00°
Fractional positions:
Cd1 0.000 0.000 0.000
In1 0.500 0.500 0.500
Co1 0.750 0.750 0.750
Pt1 0.250 0.250 0.250

Results
DFT total energy	-17.041	eV for the cell shown
relative energy among the computed polymorphs	0.0	meV/atom


Record 2
The following is a DFT calculation (PBE) of a relaxed CdInCoRe crystal.

a = 4.548 Å, b = 4.548 Å, c = 4.548 Å
α = 60.00°, β = 60.00°, γ = 60.00°
Fractional positions:
Cd1 0.000 0.000 0.000
In1 0.250 0.250 0.250
Co1 0.500 0.500 0.500
Re1 0.750 0.750 0.750

Results
DFT total energy	-20.302	eV for the cell shown
relative energy among the computed polymorphs	0.0	meV/atom


Record 3
The following is a DFT calculation (PBE) of a relaxed ScCdInCo crystal.

a = 4.690 Å, b = 4.690 Å, c = 4.690 Å
α = 60.00°, β = 60.00°, γ = 60.00°
Fractional positions:
Sc1 0.000 0.000 0.000
Cd1 0.250 0.250 0.250
In1 0.500 0.500 0.500
Co1 0.750 0.750 0.750

Results
DFT total energy	-17.355	eV for the cell shown
relative energy among the computed polymorphs	0.0	meV/atom


Record 4
The following is a DFT calculation (PBE) of a relaxed ScCdInCo crystal.

a = 4.662 Å, b = 4.662 Å, c = 4.662 Å
α = 60.00°, β = 60.00°, γ = 60.00°
Fractional positions:
Sc1 0.000 0.000 0.000
Cd1 0.750 0.750 0.750
In1 0.250 0.250 0.250
Co1 0.500 0.500 0.500

Results
DFT total energy	-17.303	eV for the cell shown
relative energy among the computed polymorphs	13.0	meV/atom


> Number 4 is which compound?

ScCdInCo